Crystalline CaLaSb2 at its relaxed geometry, computed with PBE-GGA.

Formation energy (no corrections)   -0.40 eV per atom
Space group   F-43m (216)

a = 5.508 Å, b = 5.508 Å, c = 5.508 Å
α = 60.00°, β = 60.00°, γ = 60.00°
Element x y z (fractional)
Ca: 0.000 0.000 0.000
La: 0.750 0.750 0.750
Sb: 0.250 0.250 0.250
Sb: 0.500 0.500 0.500



Crystalline ErBiPd3 at its relaxed geometry, computed with PBE-GGA.

ΔE_f   -3.18 eV/f.u.
Space group   Pmmn (59)

a = 4.162 Å, b = 5.783 Å, c = 8.605 Å
α = 90.00°, β = 90.00°, γ = 90.00°
Element x y z (fractional)
Er: 0.250 0.250 0.060
Er: 0.750 0.750 0.940
Bi: 0.250 0.250 0.444
Bi: 0.750 0.750 0.556
Pd: 0.250 0.511 0.738
Pd: 0.250 0.750 0.170
Pd: 0.250 0.989 0.738
Pd: 0.750 0.011 0.262
Pd: 0.750 0.250 0.830
Pd: 0.750 0.489 0.262



| no. | total energy (eV per atom) |
| --- | --- |
| 1 | -4.189 |
| 2 | -5.441 |